(1)
A relaxed structure of Tb2SmTm. Source: Alexandria via LeMat-Bulk, functional GGA-PBE.

The space group is No. 225. As for the energy relative to the elements: 0.147 eV per atom. Its magnetic moment is 0.01 μB per formula unit. The density of states at the Fermi level comes out at 2.52 states/eV/atom. For the energy above the most stable polymorph in this dataset, the calculation gives 13.05 kJ/mol of atoms.

a = 5.675 Å, b = 5.675 Å, c = 5.675 Å
α = 60.00°, β = 60.00°, γ = 60.00°
Fractional positions:
Tb (0.250, 0.250, 0.250)
Tb (0.750, 0.750, 0.750)
Sm (0.000, 0.000, 0.000)
Tm (0.500, 0.500, 0.500)

***

(2)
A relaxed structure of TbSm6Tm2. Source: Alexandria via LeMat-Bulk, functional GGA-PBE.

The space group is No. 15. As for the energy relative to the elements: 0.064 eV per atom. Its magnetic moment is 0.00 μB per formula unit. The density of states at the Fermi level comes out at 1.52 states/eV/atom. For the energy above the most stable polymorph in this dataset, the calculation gives 0.00 kJ/mol of atoms.

a = 11.926 Å, b = 11.926 Å, c = 5.699 Å
α = 103.78°, β = 103.78°, γ = 48.43°
Fractional positions:
Tb (0.250, 0.750, 0.750)
Tb (0.750, 0.250, 0.250)
Sm (0.002, 0.167, 0.820)
Sm (0.082, 0.580, 0.581)
Sm (0.167, 0.002, 0.320)
Sm (0.332, 0.499, 0.150)
Sm (0.420, 0.918, 0.919)
Sm (0.499, 0.332, 0.650)
Sm (0.501, 0.668, 0.350)
Sm (0.580, 0.082, 0.081)
Sm (0.668, 0.501, 0.850)
Sm (0.833, 0.998, 0.680)
Sm (0.918, 0.420, 0.419)
Sm (0.998, 0.833, 0.180)
Tm (0.167, 0.333, 0.011)
Tm (0.333, 0.167, 0.511)
Tm (0.667, 0.833, 0.489)
Tm (0.833, 0.667, 0.989)

***

(3)
A relaxed structure of Tb5Sm5Tm. Source: Alexandria via LeMat-Bulk, functional GGA-PBE.

The space group is No. 187. As for the energy relative to the elements: 0.310 eV per atom. Its magnetic moment is 0.00 μB per formula unit. The density of states at the Fermi level comes out at 1.74 states/eV/atom.

a = 6.107 Å, b = 6.107 Å, c = 11.614 Å
α = 90.00°, β = 90.00°, γ = 120.00°
Fractional positions:
Tb (0.000, 0.000, 0.235)
Tb (0.000, 0.000, 0.765)
Tb (0.336, 0.168, 0.000)
Tb (0.832, 0.168, 0.000)
Tb (0.832, 0.664, 0.000)
Sm (0.000, 0.000, 0.500)
Sm (0.333, 0.667, 0.184)
Sm (0.333, 0.667, 0.816)
Sm (0.667, 0.333, 0.345)
Sm (0.667, 0.333, 0.655)
Tm (0.333, 0.667, 0.500)